#one
# PBE Mn2Pd3Pt, relaxed
data_Mn2Pd3Pt
_cell_length_a 6.945
_cell_length_b 9.144
_cell_length_c 6.446
_cell_angle_alpha 90.00
_cell_angle_beta 110.90
_cell_angle_gamma 90.00
_space_group_name_H-M_alt 'C 1 2/c 1'
_space_group_IT_number 15
_space_group_name_Hall '-C 2yc'
loop_
_atom_site_label
_atom_site_fract_x
_atom_site_fract_y
_atom_site_fract_z
Mn1 0.117 0.206 0.117
Pd1 0.000 0.053 0.750
Pd2 0.195 0.397 0.444
Pt1 0.000 0.357 0.750
# volume	382	Å³ per cell
# magnetization	1.4725	μB/atom

#two
# PBE Mn2Pd3Pt, relaxed
data_Mn2Pd3Pt
_cell_length_a 3.956
_cell_length_b 12.012
_cell_length_c 3.830
_cell_angle_alpha 90.00
_cell_angle_beta 90.00
_cell_angle_gamma 90.00
_space_group_name_H-M_alt 'C m m m'
_space_group_IT_number 65
_space_group_name_Hall '-C 2 2'
loop_
_atom_site_label
_atom_site_fract_x
_atom_site_fract_y
_atom_site_fract_z
Mn1 0.000 0.159 0.000
Pd1 0.000 0.000 0.500
Pd2 0.000 0.330 0.500
Pt1 0.000 0.500 0.000
# volume	182	Å³ per cell
# magnetization	1.4773	μB/atom

Which of them is most stable? Easy: #two.

#one
# PBE MnPd3Pt4, relaxed
data_MnPd3Pt4
_cell_length_a 3.917
_cell_length_b 3.917
_cell_length_c 15.951
_cell_angle_alpha 90.00
_cell_angle_beta 90.00
_cell_angle_gamma 90.00
_space_group_name_H-M_alt 'I 4/m m m'
_space_group_IT_number 139
_space_group_name_Hall '-I 4 2'
loop_
_atom_site_label
_atom_site_fract_x
_atom_site_fract_y
_atom_site_fract_z
Mn1 0.000 0.000 0.000
Pd1 0.000 0.000 0.252
Pd2 0.000 0.000 0.500
Pt1 0.000 0.500 0.122
# volume	245	Å³ per cell
# magnetization	0.6088	μB/atom

#two
# PBE MnPd3Pt4, relaxed
data_MnPd3Pt4
_cell_length_a 18.264
_cell_length_b 2.811
_cell_length_c 4.801
_cell_angle_alpha 90.00
_cell_angle_beta 94.59
_cell_angle_gamma 90.00
_space_group_name_H-M_alt 'C 1 2/m 1'
_space_group_IT_number 12
_space_group_name_Hall '-C 2y'
loop_
_atom_site_label
_atom_site_fract_x
_atom_site_fract_y
_atom_site_fract_z
Mn1 0.000 0.000 0.000
Pd1 0.000 0.500 0.500
Pd2 0.249 0.500 0.249
Pt1 0.121 0.500 0.878
Pt2 0.123 0.000 0.375
# volume	246	Å³ per cell
# magnetization	0.6152	μB/atom

Which of them is most stable? Easy: #one.